1.
{
  "formula": "Dy5SnBi4",
  "functional": "GGA-PBE",
  "state": "optimized geometry",
  "ef_ev_per_fu": -7.89,
  "cell": [[-4.987, 4.987, 3.153], [4.987, -4.987, 3.153], [4.987, 4.987, -3.153]],
  "species": ["Dy", "Dy", "Dy", "Dy", "Dy", "Sn", "Bi", "Bi", "Bi", "Bi"],
  "fractional_positions": [[0.000, 0.000, 0.000], [0.204, 0.600, 0.804], [0.400, 0.204, 0.605], [0.600, 0.796, 0.395], [0.796, 0.400, 0.196], [0.500, 0.500, 0.000], [0.098, 0.301, 0.399], [0.301, 0.902, 0.203], [0.699, 0.098, 0.797], [0.902, 0.699, 0.601]]
}

2.
{
  "formula": "Pu2Pa7Ga2",
  "functional": "GGA-PBE",
  "state": "optimized geometry",
  "ef_ev_per_fu": -0.03,
  "cell": [[-2.324, 6.818, 4.150], [2.324, -6.818, 4.150], [2.324, 6.818, -4.150]],
  "species": ["Pu", "Pu", "Pa", "Pa", "Pa", "Pa", "Pa", "Pa", "Pa", "Ga", "Ga"],
  "fractional_positions": [[0.000, 0.000, 0.000], [0.662, 0.162, 0.500], [0.114, 0.449, 0.664], [0.224, 0.888, 0.337], [0.352, 0.352, 0.000], [0.516, 0.672, 0.844], [0.551, 0.888, 0.663], [0.785, 0.449, 0.336], [0.828, 0.672, 0.156], [0.363, 0.168, 0.195], [0.973, 0.168, 0.805]]
}

3.
{
  "formula": "USiNi",
  "functional": "GGA-PBE",
  "state": "optimized geometry",
  "formation_energy_uncorrected_ev_per_atom": -0.513,
  "cell": [[7.284, 0.000, 0.000], [0.000, 3.765, 0.000], [0.000, 0.000, 6.873]],
  "species": ["U", "U", "U", "U", "Si", "Si", "Si", "Si", "Ni", "Ni", "Ni", "Ni"],
  "fractional_positions": [[0.002, 0.250, 0.132], [0.498, 0.750, 0.632], [0.502, 0.250, 0.368], [0.998, 0.750, 0.868], [0.196, 0.250, 0.627], [0.304, 0.750, 0.127], [0.696, 0.250, 0.873], [0.804, 0.750, 0.373], [0.125, 0.750, 0.436], [0.375, 0.250, 0.936], [0.625, 0.750, 0.064], [0.875, 0.250, 0.564]]
}

4.
{
  "formula": "NaPt",
  "functional": "GGA-PBE",
  "state": "optimized geometry",
  "ef_ev_per_fu": 2.46,
  "cell": [[0.000, 3.218, 3.218], [3.218, 0.000, 3.218], [3.218, 3.218, 0.000]],
  "species": ["Na", "Pt"],
  "fractional_positions": [[0.000, 0.000, 0.000], [0.750, 0.750, 0.750]]
}